VASP calculation (PBE+U) on CsVN2F after structural relaxation.

Summary:
Excess energy over the best structure of this formula in the dataset (eV per formula unit): 11.984
VASP energy (eV per atom): -3.316
Mass density (g/cm3): 4.0
Spin magnetization (μB/f.u.): 0.595

abc: 4.4068 4.4068 4.9886
angles: 90.00 90.00 90.00
Sites, in units of the cell vectors:
1 Cs 0.0000 0.0000 0.0000
2 N 0.0000 0.5000 0.0000
3 N 0.5000 0.0000 0.0000
4 F 0.0000 0.0000 0.5000
5 V 0.5000 0.5000 0.5000